#a
Entry from Alexandria via LeMat-Bulk: a relaxed Li3GeOs crystal (PBE-GGA).

```
data_Li3GeOs
_cell_length_a 4.409
_cell_length_b 4.409
_cell_length_c 4.409
_cell_angle_alpha 90.00
_cell_angle_beta 90.00
_cell_angle_gamma 90.00
_space_group_name_H-M_alt 'P m -3 m'
_space_group_IT_number 221
_space_group_name_Hall '-P 4 2 3'
loop_
_atom_site_label
_atom_site_fract_x
_atom_site_fract_y
_atom_site_fract_z
Li1 0.000 0.000 0.500
Ge1 0.000 0.000 0.000
Os1 0.500 0.500 0.500
```



#b
Entry from Alexandria via LeMat-Bulk: a relaxed Li3GeOs crystal (PBE-GGA).

```
data_Li3GeOs
_cell_length_a 4.624
_cell_length_b 4.624
_cell_length_c 4.624
_cell_angle_alpha 90.00
_cell_angle_beta 90.00
_cell_angle_gamma 90.00
_space_group_name_H-M_alt 'P m -3 m'
_space_group_IT_number 221
_space_group_name_Hall '-P 4 2 3'
loop_
_atom_site_label
_atom_site_fract_x
_atom_site_fract_y
_atom_site_fract_z
Li1 0.000 0.000 0.500
Ge1 0.500 0.500 0.500
Os1 0.000 0.000 0.000
```



Computed relative energies in units of meV/atom: #a 19; #b 0



#a
Entry from Alexandria via LeMat-Bulk: a relaxed LiGeOsPt2 crystal (PBE-GGA).

```
data_LiGeOsPt2
_cell_length_a 4.149
_cell_length_b 4.149
_cell_length_c 4.288
_cell_angle_alpha 90.00
_cell_angle_beta 90.00
_cell_angle_gamma 90.00
_space_group_name_H-M_alt 'P 4/m m m'
_space_group_IT_number 123
_space_group_name_Hall '-P 4 2'
loop_
_atom_site_label
_atom_site_fract_x
_atom_site_fract_y
_atom_site_fract_z
Li1 0.000 0.000 0.000
Ge1 0.000 0.000 0.500
Os1 0.500 0.500 0.500
Pt1 0.000 0.500 0.000
```



#b
Entry from Alexandria via LeMat-Bulk: a relaxed LiGeOsPt2 crystal (PBE-GGA).

```
data_LiGeOsPt2
_cell_length_a 4.670
_cell_length_b 4.670
_cell_length_c 4.588
_cell_angle_alpha 90.00
_cell_angle_beta 90.00
_cell_angle_gamma 90.00
_space_group_name_H-M_alt 'P 4/m m m'
_space_group_IT_number 123
_space_group_name_Hall '-P 4 2'
loop_
_atom_site_label
_atom_site_fract_x
_atom_site_fract_y
_atom_site_fract_z
Li1 0.000 0.000 0.000
Ge1 0.500 0.500 0.500
Os1 0.500 0.500 0.000
Pt1 0.000 0.500 0.500
```



Computed relative energies in units of meV/atom: #a 73; #b 0



#a
Entry from Alexandria via LeMat-Bulk: a relaxed Li2GeP crystal (PBE-GGA).

```
data_Li2GeP
_cell_length_a 3.826
_cell_length_b 3.826
_cell_length_c 17.546
_cell_angle_alpha 90.00
_cell_angle_beta 90.00
_cell_angle_gamma 90.00
_space_group_name_H-M_alt 'I -4 2 d'
_space_group_IT_number 122
_space_group_name_Hall 'I -4 2bw'
loop_
_atom_site_label
_atom_site_fract_x
_atom_site_fract_y
_atom_site_fract_z
Li1 0.234 0.250 0.125
Ge1 0.000 0.000 0.500
P1 0.000 0.000 0.000
```



#b
Entry from Alexandria via LeMat-Bulk: a relaxed Li2GeP crystal (PBE-GGA).

```
data_Li2GeP
_cell_length_a 6.223
_cell_length_b 6.223
_cell_length_c 6.223
_cell_angle_alpha 90.00
_cell_angle_beta 90.00
_cell_angle_gamma 90.00
_space_group_name_H-M_alt 'F m -3 m'
_space_group_IT_number 225
_space_group_name_Hall '-F 4 2 3'
loop_
_atom_site_label
_atom_site_fract_x
_atom_site_fract_y
_atom_site_fract_z
Li1 0.250 0.250 0.250
Ge1 0.000 0.000 0.000
P1 0.000 0.000 0.500
```



Computed relative energies in units of meV/atom: #a 41; #b 0